# 1
This record from Alexandria describes a relaxed structure of PaHgPdI6. The functional is PBE.

a b c (Å): 7.236 7.236 19.563
angles (deg): 90.00 90.00 120.00
Each line ends with the local moment (μB).
Sites, in units of the cell vectors:
Pa: 0.667 0.333 0.250  -0.02
Pa: 0.333 0.667 0.750  -0.02
Hg: 0.000 0.000 0.000  0.01
Hg: 0.000 0.000 0.500  0.01
Pd: 0.333 0.667 0.250  0.56
Pd: 0.667 0.333 0.750  0.56
I: 0.655 0.660 0.161  0.06
I: 0.005 0.345 0.161  0.06
I: 0.345 0.005 0.661  0.06
I: 0.995 0.655 0.839  0.06
I: 0.340 0.345 0.339  0.06
I: 0.005 0.660 0.339  0.06
I: 0.660 0.005 0.839  0.06
I: 0.655 0.995 0.339  0.06
I: 0.995 0.340 0.661  0.06
I: 0.340 0.995 0.161  0.06
I: 0.660 0.655 0.661  0.06
I: 0.345 0.340 0.839  0.06

Results
As for the total magnetization: 0.12 μB per atom. The uncorrected formation energy is -0.57 eV/atom. The energy comes out at -58.91 eV per cell. The density of states at the Fermi level is 0.75 states/eV/atom.

# 2
This record from Alexandria describes a relaxed structure of Rb2PaHg2I6. The functional is PBE.

a b c (Å): 9.053 9.053 9.725
angles (deg): 100.41 100.41 121.02
Each line ends with the local moment (μB).
Sites, in units of the cell vectors:
Rb: 0.332 0.668 0.500  0.00
Rb: 0.668 0.332 0.500  0.00
Pa: 0.000 0.000 0.500  1.09
Hg: 0.810 0.190 0.000  0.00
Hg: 0.190 0.810 0.000  0.00
I: 0.799 0.799 0.695  -0.02
I: 0.079 0.353 0.697  -0.01
I: 0.201 0.201 0.305  -0.02
I: 0.353 0.079 0.697  -0.01
I: 0.921 0.647 0.303  -0.01
I: 0.647 0.921 0.303  -0.01

Results
As for the total magnetization: 0.09 μB per atom. The uncorrected formation energy is -0.98 eV/atom. The energy comes out at -32.12 eV per cell. The density of states at the Fermi level is 0.02 states/eV/atom.

# 3
This record from Alexandria describes a relaxed structure of RbPaHgI6. The functional is PBE.

a b c (Å): 9.040 9.040 14.849
angles (deg): 90.00 90.00 120.00
Sites, in units of the cell vectors:
Rb: 0.333 0.667 0.250
Rb: 0.667 0.333 0.750
Pa: 0.667 0.333 0.250
Pa: 0.333 0.667 0.750
Hg: 0.000 0.000 0.000
Hg: 0.000 0.000 0.500
I: 0.664 0.598 0.134
I: 0.934 0.336 0.134
I: 0.336 0.934 0.634
I: 0.066 0.664 0.866
I: 0.402 0.336 0.366
I: 0.934 0.598 0.366
I: 0.598 0.934 0.866
I: 0.664 0.066 0.366
I: 0.066 0.402 0.634
I: 0.402 0.066 0.134
I: 0.598 0.664 0.634
I: 0.336 0.402 0.866

Results
As for the total magnetization: 0.00 μB per atom. The uncorrected formation energy is -0.96 eV/atom. The energy comes out at -57.45 eV per cell.

# 4
This record from Alexandria describes a relaxed structure of PaHg3Se2I6. The functional is PBE.

a b c (Å): 8.287 8.228 10.218
angles (deg): 113.74 120.38 90.00
Sites, in units of the cell vectors:
Pa: 0.500 0.000 0.000
Hg: 0.000 0.500 0.000
Hg: 0.500 0.500 0.500
Hg: 0.500 0.000 0.500
Se: 0.280 0.670 0.341
Se: 0.720 0.330 0.659
I: 0.757 0.372 0.241
I: 0.243 0.628 0.759
I: 0.730 0.920 0.840
I: 0.270 0.080 0.160
I: 0.243 0.130 0.759
I: 0.757 0.870 0.241

Results
As for the total magnetization: 0.00 μB per atom. The uncorrected formation energy is -0.50 eV/atom. The energy comes out at -32.69 eV per cell. The density of states at the Fermi level is 0.28 states/eV/atom.

# 5
This record from Alexandria describes a relaxed structure of PaSnHgI6. The functional is PBE.

a b c (Å): 7.968 7.968 18.874
angles (deg): 90.00 90.00 120.00
Each line ends with the local moment (μB).
Sites, in units of the cell vectors:
Pa: 0.667 0.333 0.250  1.09
Pa: 0.333 0.667 0.750  1.09
Sn: 0.333 0.667 0.250  0.00
Sn: 0.667 0.333 0.750  0.00
Hg: 0.000 0.000 0.000  0.00
Hg: 0.000 0.000 0.500  0.00
I: 0.651 0.637 0.156  -0.02
I: 0.986 0.349 0.156  -0.02
I: 0.349 0.986 0.656  -0.02
I: 0.014 0.651 0.844  -0.02
I: 0.363 0.349 0.344  -0.02
I: 0.986 0.637 0.344  -0.02
I: 0.637 0.986 0.844  -0.02
I: 0.651 0.014 0.344  -0.02
I: 0.014 0.363 0.656  -0.02
I: 0.363 0.014 0.156  -0.02
I: 0.637 0.651 0.656  -0.02
I: 0.349 0.363 0.844  -0.02

Results
As for the total magnetization: 0.11 μB per atom. The uncorrected formation energy is -0.70 eV/atom. The energy comes out at -58.86 eV per cell. The density of states at the Fermi level is 0.02 states/eV/atom.

# 6
This record from Alexandria describes a relaxed structure of SrPaHgI6. The functional is PBE.

a b c (Å): 8.153 8.153 18.868
angles (deg): 90.00 90.00 120.00
Each line ends with the local moment (μB).
Sites, in units of the cell vectors:
Sr: 0.333 0.667 0.250  0.00
Sr: 0.667 0.333 0.750  0.00
Pa: 0.667 0.333 0.250  1.09
Pa: 0.333 0.667 0.750  1.09
Hg: 0.000 0.000 0.000  0.00
Hg: 0.000 0.000 0.500  0.00
I: 0.653 0.629 0.155  -0.02
I: 0.976 0.347 0.155  -0.02
I: 0.347 0.976 0.655  -0.02
I: 0.024 0.653 0.845  -0.02
I: 0.371 0.347 0.345  -0.02
I: 0.976 0.629 0.345  -0.02
I: 0.629 0.976 0.845  -0.02
I: 0.653 0.024 0.345  -0.02
I: 0.024 0.371 0.655  -0.02
I: 0.371 0.024 0.155  -0.02
I: 0.629 0.653 0.655  -0.02
I: 0.347 0.371 0.845  -0.02

Results
As for the total magnetization: 0.11 μB per atom. The uncorrected formation energy is -1.09 eV/atom. The energy comes out at -61.22 eV per cell. The density of states at the Fermi level is 0.08 states/eV/atom.